# 1
VASP calculation (GGA-PBE) on a relaxed structure of RbNb2Fe2.

The structure belongs to space group I4/mmm (No. 139); the cell edges are 3.638, 3.638 and 19.521 Å and the angles 90.00°, 90.00° and 90.00°. The asymmetric unit holds Rb at (0.000, 0.000, 0.000), Nb at (0.000, 0.000, 0.330) and Fe at (0.000, 0.500, 0.250).

The energy of formation is 0.84 eV/atom. The value obtained for the total energy is -6.76 eV per atom. Its energy above the most stable polymorph in this dataset is 2.96 kcal/mol of atoms.

# 2
VASP calculation (GGA-PBE) on a relaxed structure of RbNb2Fe2.

The structure belongs to space group I4/mmm (No. 139); the cell edges are 4.171, 4.171 and 14.008 Å and the angles 90.00°, 90.00° and 90.00°. The asymmetric unit holds Rb at (0.000, 0.000, 0.000), Nb at (0.000, 0.500, 0.250) and Fe at (0.000, 0.000, 0.343).

The energy of formation is 0.71 eV/atom. The value obtained for the total energy is -6.89 eV per atom. Its energy above the most stable polymorph in this dataset is 0.00 kcal/mol of atoms.

# 3
VASP calculation (GGA-PBE) on a relaxed structure of RbNbFe3.

The structure belongs to space group Pm-3m (No. 221); the cell edges are 4.896, 4.896 and 4.896 Å and the angles 90.00°, 90.00° and 90.00°. The asymmetric unit holds Rb at (0.000, 0.000, 0.000), Nb at (0.500, 0.500, 0.500) and Fe at (0.000, 0.500, 0.500).

The energy of formation is 1.44 eV/atom. The value obtained for the total energy is -5.85 eV per atom. Its energy above the most stable polymorph in this dataset is 0.00 kcal/mol of atoms.

# 4
VASP calculation (GGA-PBE) on a relaxed structure of Rb2NbFe.

The structure belongs to space group Fm-3m (No. 225); the cell edges are 8.614, 8.614 and 8.614 Å and the angles 90.00°, 90.00° and 90.00°. The asymmetric unit holds Rb at (0.250, 0.250, 0.250), Nb at (0.000, 0.000, 0.000) and Fe at (0.000, 0.000, 0.500).

The energy of formation is 1.97 eV/atom. The value obtained for the total energy is -3.15 eV per atom. Its energy above the most stable polymorph in this dataset is 13.47 kcal/mol of atoms.

# 5
VASP calculation (GGA-PBE) on a relaxed structure of Rb2NbFe.

The structure belongs to space group I-42d (No. 122); the cell edges are 13.455, 13.455 and 4.330 Å and the angles 90.00°, 90.00° and 90.00°. The asymmetric unit holds Rb at (0.074, 0.750, 0.125), Nb at (0.000, 0.000, 0.500) and Fe at (0.000, 0.000, 0.000).

The energy of formation is 1.39 eV/atom. The value obtained for the total energy is -3.73 eV per atom. Its energy above the most stable polymorph in this dataset is 0.00 kcal/mol of atoms.

# 6
VASP calculation (GGA-PBE) on a relaxed structure of RbNb2Fe2.

The structure belongs to space group P4/mbm (No. 127); the cell edges are 7.963, 7.963 and 2.941 Å and the angles 90.00°, 90.00° and 90.00°. The asymmetric unit holds Rb at (0.000, 0.000, 0.000), Nb at (0.134, 0.366, 0.000) and Fe at (0.125, 0.625, 0.500).

The energy of formation is 0.78 eV/atom. The value obtained for the total energy is -6.83 eV per atom. Its energy above the most stable polymorph in this dataset is 1.50 kcal/mol of atoms.

# 7
VASP calculation (GGA-PBE) on a relaxed structure of RbNbFeRh2.

The structure belongs to space group P4/mmm (No. 123); the cell edges are 4.647, 4.647 and 4.852 Å and the angles 90.00°, 90.00° and 90.00°. The asymmetric unit holds Rb at (0.000, 0.000, 0.000), Nb at (0.000, 0.000, 0.500), Fe at (0.500, 0.500, 0.500) and Rh at (0.000, 0.500, 0.000).

The energy of formation is 2.97 eV/atom. The value obtained for the total energy is -3.87 eV per atom.

# 8
VASP calculation (GGA-PBE) on a relaxed structure of Rb2NbFeRu.

The structure belongs to space group P4/mmm (No. 123); the cell edges are 6.758, 6.758 and 4.608 Å and the angles 90.00°, 90.00° and 90.00°. The asymmetric unit holds Rb at (0.000, 0.500, 0.000), Nb at (0.000, 0.000, 0.500), Fe at (0.500, 0.500, 0.500) and Ru at (0.000, 0.000, 0.000).

The energy of formation is 1.74 eV/atom. The value obtained for the total energy is -4.21 eV per atom.

# 9
VASP calculation (GGA-PBE) on a relaxed structure of RbNbFeSi2.

The structure belongs to space group P4/mmm (No. 123); the cell edges are 5.087, 5.087 and 4.452 Å and the angles 90.00°, 90.00° and 90.00°. The asymmetric unit holds Rb at (0.000, 0.000, 0.000), Nb at (0.500, 0.500, 0.500), Fe at (0.000, 0.000, 0.500) and Si at (0.000, 0.500, 0.000).

The value obtained for the total energy is -3.41 eV per atom. The uncorrected formation energy is 2.664 eV/atom.

# 10
VASP calculation (GGA-PBE) on a relaxed structure of Nb3FeRe2.

The structure belongs to space group Cmmm (No. 65); the cell edges are 4.504, 13.486 and 6.327 Å and the angles 90.00°, 90.00° and 90.00°. The asymmetric unit holds Nb at (0.000, 0.000, 0.248), Nb at (0.000, 0.332, 0.246), Fe at (0.000, 0.167, 0.000), Re at (0.000, 0.167, 0.500), Re at (0.000, 0.500, 0.000) and Re at (0.000, 0.500, 0.500).

The energy of formation is -0.19 eV/atom. The value obtained for the total energy is -10.78 eV per atom.

# 11
VASP calculation (GGA-PBE) on a relaxed structure of NbFe2Re.

The structure belongs to space group P4/mmm (No. 123); the cell edges are 3.821, 3.821 and 3.735 Å and the angles 90.00°, 90.00° and 90.00°. The asymmetric unit holds Nb at (0.000, 0.000, 0.000), Fe at (0.000, 0.500, 0.500) and Re at (0.500, 0.500, 0.000).

The energy of formation is 0.09 eV/atom. The value obtained for the total energy is -9.78 eV per atom.

# 12
VASP calculation (GGA-PBE) on a relaxed structure of Nb2Fe15Re2.

The structure belongs to space group R-3m (No. 166, hexagonal axes); the cell edges are 8.1127, 8.1127 and 12.5109 Å and the angles 90.00°, 90.00° and 120.00°. The asymmetric unit holds Nb at (0.0000, 0.0000, 0.1645), Fe at (0.0000, 0.3188, 0.5000), Fe at (0.0000, 0.5000, 0.0000), Fe at (0.0094, 0.5047, 0.6615) and Re at (0.0000, 0.0000, 0.4026).

The energy of formation is 0.06 eV/atom. The value obtained for the total energy is -8.99 eV per atom.

# 13
VASP calculation (GGA-PBE) on a relaxed structure of Nb5FeRe4.

The structure belongs to space group P4/mmm (No. 123); the cell edges are 3.198, 3.198 and 15.846 Å and the angles 90.00°, 90.00° and 90.00°. The asymmetric unit holds Nb at (0.000, 0.000, 0.000), Nb at (0.000, 0.000, 0.203), Nb at (0.000, 0.000, 0.405), Fe at (0.500, 0.500, 0.500), Re at (0.500, 0.500, 0.102) and Re at (0.500, 0.500, 0.305).

The energy of formation is -0.22 eV/atom. The value obtained for the total energy is -11.08 eV per atom.

# 14
VASP calculation (GGA-PBE) on a relaxed structure of NbFe9Re2.

The structure belongs to space group R-3m (No. 166, hexagonal axes); the cell edges are 4.6828, 4.6828 and 23.2569 Å and the angles 90.00°, 90.00° and 120.00°. The asymmetric unit holds Nb at (0.0000, 0.0000, 0.0000), Fe at (0.0000, 0.0000, 0.3336), Fe at (0.0000, 0.0000, 0.5000), Fe at (0.0045, 0.5023, 0.9138) and Re at (0.0000, 0.0000, 0.1463).

The energy of formation is 0.05 eV/atom. The value obtained for the total energy is -9.21 eV per atom.

# 15
VASP calculation (GGA-PBE) on a relaxed structure of Nb3FeRe.

The structure belongs to space group Pm-3m (No. 221); the cell edges are 4.515, 4.515 and 4.515 Å and the angles 90.00°, 90.00° and 90.00°. The asymmetric unit holds Nb at (0.000, 0.000, 0.500), Fe at (0.000, 0.000, 0.000) and Re at (0.500, 0.500, 0.500).

The energy of formation is 0.95 eV/atom. The value obtained for the total energy is -9.27 eV per atom. Its energy above the most stable polymorph in this dataset is 0.00 kcal/mol of atoms.

# 16
VASP calculation (GGA-PBE) on a relaxed structure of Nb3Fe8Re.

The structure belongs to space group P3m1 (No. 156); the cell edges are 4.7519, 4.7519 and 7.8504 Å and the angles 90.00°, 90.00° and 120.00°. The asymmetric unit holds Nb at (0.0000, 0.0000, 0.0000), Nb at (0.0000, 0.0000, 0.3755), Nb at (0.3333, 0.6667, 0.8536), Fe at (0.0070, 0.5035, 0.1805), Fe at (0.3293, 0.1646, 0.6793), Fe at (0.6667, 0.3333, 0.4295), Fe at (0.6667, 0.3333, 0.9316) and Re at (0.3333, 0.6667, 0.4917).

The energy of formation is -0.11 eV/atom. The value obtained for the total energy is -9.31 eV per atom. Its energy above the most stable polymorph in this dataset is 0.00 kcal/mol of atoms.

# 17
VASP calculation (GGA-PBE) on a relaxed structure of NbFeRe3.

The structure belongs to space group Pm-3m (No. 221); the cell edges are 4.407, 4.407 and 4.407 Å and the angles 90.00°, 90.00° and 90.00°. The asymmetric unit holds Nb at (0.000, 0.000, 0.000), Fe at (0.500, 0.500, 0.500) and Re at (0.000, 0.500, 0.500).

The energy of formation is 1.26 eV/atom. The value obtained for the total energy is -9.92 eV per atom.

# 18
VASP calculation (GGA-PBE) on a relaxed structure of NbFe3Re.

The structure belongs to space group Pm-3m (No. 221); the cell edges are 4.403, 4.403 and 4.403 Å and the angles 90.00°, 90.00° and 90.00°. The asymmetric unit holds Nb at (0.000, 0.000, 0.000), Fe at (0.000, 0.500, 0.500) and Re at (0.500, 0.500, 0.500).

The energy of formation is 1.41 eV/atom. The value obtained for the total energy is -8.17 eV per atom. Its energy above the most stable polymorph in this dataset is 0.00 kcal/mol of atoms.

# 19
VASP calculation (GGA-PBE) on a relaxed structure of NbFeRe2.

The structure belongs to space group P4/mmm (No. 123); the cell edges are 3.853, 3.853 and 4.027 Å and the angles 90.00°, 90.00° and 90.00°. The asymmetric unit holds Nb at (0.000, 0.000, 0.000), Fe at (0.500, 0.500, 0.000) and Re at (0.000, 0.500, 0.500).

The energy of formation is 0.09 eV/atom. The value obtained for the total energy is -10.77 eV per atom.

# 20
VASP calculation (GGA-PBE) on a relaxed structure of NbFeRe2.

The structure belongs to space group I-42d (No. 122); the cell edges are 7.102, 7.102 and 5.038 Å and the angles 90.00°, 90.00° and 90.00°. The asymmetric unit holds Nb at (0.000, 0.000, 0.000), Fe at (0.000, 0.000, 0.500) and Re at (0.209, 0.250, 0.625).

The energy of formation is 0.68 eV/atom. The value obtained for the total energy is -10.18 eV per atom.